1.
Compound: Sr4CuAu3
Source: the Alexandria database
Functional: GGA-PBE
Structure: relaxed

Lattice parameters (Å, degrees): 4.449 4.606 11.716 90.00 90.00 90.00
Element x y z (fractional)
Sr  0.000  0.000  0.000
Sr  0.000  0.500  0.278
Sr  0.500  0.000  0.499
Sr  0.500  0.500  0.779
Cu  0.500  0.000  0.201
Au  0.000  0.000  0.719
Au  0.000  0.500  0.558
Au  0.500  0.500  0.075


2.
Compound: Sr4CuAu
Source: the Alexandria database
Functional: GGA-PBE
Structure: relaxed

Lattice parameters (Å, degrees): 7.107 7.107 7.107 60.00 60.00 60.00
Element x y z (fractional)
Sr  0.125  0.125  0.125
Sr  0.125  0.125  0.625
Sr  0.125  0.625  0.125
Sr  0.625  0.125  0.125
Cu  0.500  0.500  0.500
Au  0.750  0.750  0.750


3.
Compound: SrCuAu2
Source: the Alexandria database
Functional: GGA-PBE
Structure: relaxed

Lattice parameters (Å, degrees): 3.543 3.543 6.794 90.00 90.00 90.00
Element x y z (fractional)
Sr  0.000  0.000  0.000
Cu  0.000  0.000  0.500
Au  0.500  0.500  0.299
Au  0.500  0.500  0.701


4.
Compound: SrCuAu3
Source: the Alexandria database
Functional: GGA-PBE
Structure: relaxed

Lattice parameters (Å, degrees): 5.770 5.770 5.770 90.00 90.00 90.00
Element x y z (fractional)
Sr  0.000  0.000  0.000
Cu  0.500  0.500  0.500
Au  0.000  0.000  0.500
Au  0.000  0.500  0.000
Au  0.500  0.000  0.000


5.
Compound: SrTaCuAu2
Source: the Alexandria database
Functional: GGA-PBE
Structure: relaxed

Lattice parameters (Å, degrees): 5.347 5.347 4.926 90.00 90.00 90.00
Element x y z (fractional)
Sr  0.000  0.000  0.000
Ta  0.500  0.500  0.500
Cu  0.000  0.000  0.500
Au  0.000  0.500  0.000
Au  0.500  0.000  0.000


6.
Compound: SrTbCuAu
Source: the Alexandria database
Functional: GGA-PBE
Structure: relaxed

Lattice parameters (Å, degrees): 5.184 5.184 5.184 60.00 60.00 60.00
Element x y z (fractional)
Sr  0.000  0.000  0.000
Tb  0.500  0.500  0.500
Cu  0.750  0.750  0.750
Au  0.250  0.250  0.250


7.
Compound: SrCu2TcAu
Source: the Alexandria database
Functional: GGA-PBE
Structure: relaxed

Lattice parameters (Å, degrees): 4.781 4.781 5.125 90.00 90.00 90.00
Element x y z (fractional)
Sr  0.000  0.000  0.000
Cu  0.000  0.500  0.500
Cu  0.500  0.000  0.500
Tc  0.500  0.500  0.500
Au  0.500  0.500  0.000


8.
Compound: SrThCuAu
Source: the Alexandria database
Functional: GGA-PBE
Structure: relaxed

Lattice parameters (Å, degrees): 5.248 5.248 5.248 60.00 60.00 60.00
Element x y z (fractional)
Sr  0.000  0.000  0.000
Th  0.500  0.500  0.500
Cu  0.250  0.250  0.250
Au  0.750  0.750  0.750


Record-wise total magnetic moment values, in Bohr magnetons per cell: 0.0 0.0 0.0 0.0 2.8 0.0 1.8 0.0
Record-wise formation energy values, in eV per atom: -0.61 0.65 -0.31 0.93 1.65 -0.37 0.47 -0.23